(1)
{"formula": "ScNiIr2", "functional": "PBE-GGA", "state": "relaxed", "total_magnetization_mub_per_cell": 0.000, "ef_mev_per_atom": -391, "lattice_angstrom": [[-1.161, -4.134, 1.466], [4.472, 0.184, 0.740], [-0.490, 1.091, 2.688]], "species": ["Ir", "Ir", "Ni", "Sc"], "fractional_positions": [[0.000, 0.000, 0.000], [0.500, 0.500, 0.000], [0.500, 0.000, 0.500], [0.000, 0.500, 0.500]]}

=====

(2)
{"formula": "Sc3Ni2Ir", "functional": "PBE-GGA", "state": "relaxed", "total_magnetization_mub_per_cell": 0.000, "ef_mev_per_atom": -697, "lattice_angstrom": [[4.522, 0.000, 0.000], [-2.261, 3.917, 0.000], [0.000, 0.000, 11.060]], "species": ["Sc", "Sc", "Sc", "Sc", "Sc", "Sc", "Ni", "Ni", "Ni", "Ni", "Ir", "Ir"], "fractional_positions": [[0.333, 0.667, 0.416], [0.667, 0.333, 0.082], [0.000, 0.000, 0.752], [0.000, 0.000, 0.248], [0.333, 0.667, 0.918], [0.667, 0.333, 0.584], [0.000, 0.000, 0.500], [0.333, 0.667, 0.167], [0.667, 0.333, 0.833], [0.000, 0.000, 0.000], [0.333, 0.667, 0.667], [0.667, 0.333, 0.333]]}

=====

(3)
{"formula": "ScSi3NiIr", "functional": "PBE-GGA", "state": "relaxed", "e_form_raw_ev_per_atom": -0.406, "total_magnetization_mub_per_cell": 0.000, "lattice_angstrom": [[5.225, 0.000, 0.000], [0.000, 6.186, 0.000], [0.000, -3.093, 6.607]], "species": ["Sc", "Sc", "Si", "Si", "Si", "Si", "Si", "Si", "Ni", "Ni", "Ir", "Ir"], "fractional_positions": [[0.750, 0.169, 0.338], [0.250, 0.831, 0.662], [0.250, 0.215, 0.431], [0.000, 0.286, 0.000], [0.500, 0.714, 0.000], [0.500, 0.286, 0.000], [0.000, 0.714, 0.000], [0.750, 0.785, 0.569], [0.250, 0.049, 0.099], [0.750, 0.951, 0.901], [0.250, 0.386, 0.772], [0.750, 0.614, 0.228]]}